(1)
Here is a crystal of Sb2SeBr relaxed with PBEsol from Alexandria. Energies are from meta-GGA SCAN.

Cell and atoms, written as CIF:
```
data_Sb2SeBr
_chemical_formula_sum 'Sb4 Se2 Br2'
_symmetry_space_group_name_H-M 'C m m 2'
_symmetry_Int_Tables_number 35
_cell_length_a 3.5227
_cell_length_b 5.9458
_cell_length_c 9.8346
_cell_angle_alpha 90.00
_cell_angle_beta 90.00
_cell_angle_gamma 90.00
loop_
_symmetry_equiv_pos_as_xyz
'x,y,z'
'-x,-y,z'
'-x,y,z'
'x,-y,z'
'x+1/2,y+1/2,z'
'-x+1/2,-y+1/2,z'
'-x+1/2,y+1/2,z'
'x+1/2,-y+1/2,z'
loop_
_atom_site_label
_atom_site_fract_x
_atom_site_fract_y
_atom_site_fract_z
Sb1 0.0000 0.0000 0.0000
Sb2 0.0000 0.5000 0.2915
Se1 0.0000 0.5000 0.7978
Br1 0.0000 0.0000 0.5200
```

excess energy over the best structure of this formula in the dataset: 90 meV per atom
magnetic moment: 0.0 μB per cell
crystal system: orthorhombic


(2)
Here is a crystal of FeAs2O relaxed with PBEsol from Alexandria. Energies are from meta-GGA SCAN.

Cell and atoms, written as CIF:
```
data_FeAs2O
_chemical_formula_sum 'Fe4 As8 O4'
_symmetry_space_group_name_H-M 'I -4 2 d'
_symmetry_Int_Tables_number 122
_symmetry_space_group_name_Hall 'I -4 2bw'
_cell_length_a 3.5585
_cell_length_b 3.5585
_cell_length_c 17.8512
_cell_angle_alpha 90.00
_cell_angle_beta 90.00
_cell_angle_gamma 90.00
loop_
_atom_site_label
_atom_site_fract_x
_atom_site_fract_y
_atom_site_fract_z
Fe1 0.0000 0.0000 0.0000
As1 0.2410 0.2500 0.6250
O1 0.0000 0.0000 0.5000
```

magnetic moment: 13.6 μB per cell
crystal system: tetragonal
total DFT energy (no corrections): -15.97 eV per atom


(3)
Here is a crystal of Mg2B2AsIr5 relaxed with PBEsol from Alexandria. Energies are from meta-GGA SCAN.

Cell and atoms, written as CIF:
```
data_Mg2B2AsIr5
_chemical_formula_sum 'Mg4 B4 As2 Ir10'
_symmetry_space_group_name_H-M 'P 4/m b m'
_symmetry_Int_Tables_number 127
_symmetry_space_group_name_Hall '-P 4 2ab'
_cell_length_a 9.3937
_cell_length_b 9.3937
_cell_length_c 2.9488
_cell_angle_alpha 90.00
_cell_angle_beta 90.00
_cell_angle_gamma 90.00
loop_
_atom_site_label
_atom_site_fract_x
_atom_site_fract_y
_atom_site_fract_z
Mg1 0.1751 0.3249 0.0000
B1 0.1248 0.6248 0.0000
As1 0.0000 0.0000 0.0000
Ir1 0.0000 0.5000 0.5000
Ir2 0.0726 0.7849 0.5000
```

magnetic moment: 0.0 μB per cell
crystal system: tetragonal
total DFT energy (no corrections): -40.59 eV per atom


(4)
Here is a crystal of KAlAg2 relaxed with PBEsol from Alexandria. Energies are from meta-GGA SCAN.

Cell and atoms, written as CIF:
```
data_KAlAg2
_chemical_formula_sum 'K2 Al2 Ag4'
_symmetry_space_group_name_H-M 'I m m 2'
_symmetry_Int_Tables_number 44
_cell_length_a 2.9307
_cell_length_b 5.2514
_cell_length_c 10.9642
_cell_angle_alpha 90.00
_cell_angle_beta 90.00
_cell_angle_gamma 90.00
loop_
_symmetry_equiv_pos_as_xyz
'x,y,z'
'-x,-y,z'
'-x,y,z'
'x,-y,z'
'x+1/2,y+1/2,z+1/2'
'-x+1/2,-y+1/2,z+1/2'
'-x+1/2,y+1/2,z+1/2'
'x+1/2,-y+1/2,z+1/2'
loop_
_atom_site_label
_atom_site_fract_x
_atom_site_fract_y
_atom_site_fract_z
K1 0.0000 0.0000 0.0000
Al1 0.0000 0.5000 0.2157
Ag1 0.0000 0.0000 0.5117
Ag2 0.0000 0.5000 0.7881
```

magnetic moment: 0.0 μB per cell
crystal system: orthorhombic
total DFT energy (no corrections): -19.53 eV per atom